Density functional theory data (PBE) for a relaxed structure of NaCaS3.

a = 5.3485 Å, b = 5.3485 Å, c = 5.3485 Å
α = 90.00°, β = 90.00°, γ = 90.00°
Last column: nearest neighbours and their distance in Å.
Fractional coordinates of all 5 atoms:
Na1 0.5000 0.5000 0.5000  12 S 3.78
Ca1 0.0000 0.0000 0.0000  6 S 2.67
S1 0.0000 0.5000 0.0000  2 Ca 2.67
S2 0.0000 0.0000 0.5000  2 Ca 2.67
S3 0.5000 0.0000 0.0000  2 Ca 2.67

Results
The value obtained for the uncorrected energy is -17.496 eV for the cell shown. Its density of states at the Fermi level is 0.3464 states/eV/atom. For the formation energy from raw total energies, the calculation gives -0.36 eV per atom.